1.
The following is a GGA-PBE calculation of an optimized crystal structure of ReSbAsP2, from the Alexandria database.

## Properties
For the total energy, the calculation gives -4.751 eV/atom. As for the space group: P4/mmm, No. 123. The raw formation energy is 1657 meV per atom.

Lattice parameters (Å, degrees): 4.587 4.587 5.227 90.00 90.00 90.00
Sites, in units of the cell vectors:
Re1 0.000 0.000 0.000
Sb1 0.500 0.500 0.000
As1 0.500 0.500 0.500
P1 0.000 0.500 0.500
P2 0.500 0.000 0.500

***

2.
The following is a GGA-PBE calculation of an optimized crystal structure of LiGePtAu, from the Alexandria database.

## Properties
For the total energy, the calculation gives -4.327 eV/atom. As for the space group: F-43m, No. 216. The value obtained for the energy of formation from the pure elements is -1.459 eV/f.u.

Lattice parameters (Å, degrees): 4.427 4.427 4.427 60.00 60.00 60.00
Sites, in units of the cell vectors:
Li1 0.000 0.000 0.000
Ge1 0.500 0.500 0.500
Pt1 0.250 0.250 0.250
Au1 0.750 0.750 0.750

***

3.
The following is a GGA-PBE calculation of an optimized crystal structure of Ba2TlTc, from the Alexandria database.

## Properties
For the total energy, the calculation gives -3.520 eV/atom. As for the space group: F-43m, No. 216. The value obtained for the energy of formation from the pure elements is 2.500 eV/f.u.

Lattice parameters (Å, degrees): 5.589 5.589 5.589 60.00 60.00 60.00
Sites, in units of the cell vectors:
Ba1 0.000 0.000 0.000
Ba2 0.250 0.250 0.250
Tl1 0.750 0.750 0.750
Tc1 0.500 0.500 0.500

***

4.
The following is a GGA-PBE calculation of an optimized crystal structure of VPbS3, from the Alexandria database.

## Properties
For the total energy, the calculation gives -5.676 eV/atom. As for the space group: P2_1/c, No. 14. The raw formation energy is -634 meV per atom.

Lattice parameters (Å, degrees): 8.573 5.987 9.056 90.00 114.36 90.00
Sites, in units of the cell vectors:
V1 0.064 0.208 0.075
V2 0.064 0.292 0.575
V3 0.936 0.708 0.425
V4 0.936 0.792 0.925
Pb1 0.379 0.715 0.352
Pb2 0.379 0.785 0.852
Pb3 0.621 0.215 0.148
Pb4 0.621 0.285 0.648
S1 0.060 0.073 0.845
S2 0.060 0.427 0.345
S3 0.181 0.572 0.035
S4 0.181 0.928 0.535
S5 0.351 0.153 0.255
S6 0.351 0.347 0.755
S7 0.649 0.653 0.245
S8 0.649 0.847 0.745
S9 0.819 0.072 0.465
S10 0.819 0.428 0.965
S11 0.940 0.573 0.655
S12 0.940 0.927 0.155

***

5.
The following is a GGA-PBE calculation of an optimized crystal structure of Cs2TlPd2, from the Alexandria database.

## Properties
For the total energy, the calculation gives -2.837 eV/atom. As for the space group: P4/mbm, No. 127. The value obtained for the energy of formation from the pure elements is 0.274 eV/f.u.

Lattice parameters (Å, degrees): 7.398 7.398 5.841 90.00 90.00 90.00
Sites, in units of the cell vectors:
Cs1 0.179 0.321 0.000
Cs2 0.321 0.821 0.000
Cs3 0.679 0.179 0.000
Cs4 0.821 0.679 0.000
Tl1 0.000 0.000 0.500
Tl2 0.500 0.500 0.500
Pd1 0.130 0.630 0.500
Pd2 0.370 0.130 0.500
Pd3 0.630 0.870 0.500
Pd4 0.870 0.370 0.500

***

6.
The following is a GGA-PBE calculation of an optimized crystal structure of PmPrTe3, from the Alexandria database.

## Properties
For the total energy, the calculation gives -5.170 eV/atom. As for the space group: C2/m, No. 12. The raw formation energy is -1379 meV per atom.

Lattice parameters (Å, degrees): 9.128 9.128 9.902 119.03 119.03 30.19
Sites, in units of the cell vectors:
Pm1 0.114 0.114 0.273
Pm2 0.886 0.886 0.727
Pr1 0.342 0.342 0.236
Pr2 0.658 0.658 0.764
Te1 0.126 0.126 0.961
Te2 0.240 0.240 0.652
Te3 0.451 0.451 0.618
Te4 0.549 0.549 0.382
Te5 0.760 0.760 0.348
Te6 0.874 0.874 0.039